1.
## Nb2Rh (PBE)

Data for crystalline Nb2Rh at its relaxed geometry.

The space group is Cmmm (No. 65) and the conventional cell measures 4.597, 9.632 and 4.576 Å, with angles of 90.00, 90.00 and 90.00 degrees. The inequivalent atoms are Nb at (0.000, 0.000, 0.000), Nb at (0.000, 0.167, 0.500), Nb at (0.000, 0.500, 0.500) and Rh at (0.000, 0.344, 0.000).

Its total magnetization is 0.00 μB/f.u. The crystal system is orthorhombic. The theoretical density comes out at 9.5 g/cm3. Its formation energy is -232 meV/atom.

=====

2.
## PmTm2Th (PBE)

Data for crystalline PmTm2Th at its relaxed geometry.

The space group is Cmmm (No. 65) and the conventional cell measures 7.153, 9.882 and 3.568 Å, with angles of 90.00, 90.00 and 90.00 degrees. The inequivalent atoms are Pm at (0.000, 0.000, 0.000), Tm at (0.250, 0.250, 0.500) and Th at (0.000, 0.500, 0.000).

Its total magnetization is 0.00 μB/f.u. The crystal system is orthorhombic. Its energy above the lowest structure with this stoichiometry is 8.2 meV/atom. The theoretical density comes out at 9.4 g/cm3. Its formation energy is 22 meV/atom.

=====

3.
## Ce2ZnCu3 (PBE)

Data for crystalline Ce2ZnCu3 at its relaxed geometry.

The space group is Cm (No. 8) and the conventional cell measures 10.024, 4.461 and 6.600 Å, with angles of 90.00, 129.78 and 90.00 degrees. The inequivalent atoms are Ce at (0.000, 0.000, 0.000), Ce at (0.046, 0.000, 0.572), Zn at (0.361, 0.000, 0.162), Cu at (0.187, 0.500, 0.415), Cu at (0.192, 0.500, 0.988) and Cu at (0.355, 0.000, 0.586).

Its total magnetization is 0.85 μB/f.u. The crystal system is monoclinic. The theoretical density comes out at 7.9 g/cm3. Its formation energy is -180 meV/atom.

=====

4.
## CsK3Au8 (PBE)

Data for crystalline CsK3Au8 at its relaxed geometry.

The space group is P3m1 (No. 156) and the conventional cell measures 5.8040, 5.8040 and 10.1026 Å, with angles of 90.00, 90.00 and 120.00 degrees. The inequivalent atoms are Cs at (0.0000, 0.0000, 0.0000), K at (0.0000, 0.0000, 0.3780), K at (0.6667, 0.3333, 0.4992), K at (0.6667, 0.3333, 0.8700), Au at (0.1662, 0.3325, 0.6787), Au at (0.3333, 0.6667, 0.4380), Au at (0.3333, 0.6667, 0.9327) and Au at (0.5006, 0.0012, 0.1976).

Its total magnetization is 0.00 μB/f.u. The crystal system is trigonal. Its energy above the lowest structure with this stoichiometry is 0.0 meV/atom. The theoretical density comes out at 10.3 g/cm3. Its formation energy is -249 meV/atom.

=====

5.
## Er5PuAl3 (PBE)

Data for crystalline Er5PuAl3 at its relaxed geometry.

The space group is P6_3/mcm (No. 193) and the conventional cell measures 8.9910, 8.9910 and 6.4685 Å, with angles of 90.00, 90.00 and 120.00 degrees. The inequivalent atoms are Er at (0.0000, 0.3221, 0.2500), Er at (0.3333, 0.6667, 0.0000), Pu at (0.0000, 0.0000, 0.0000) and Al at (0.0000, 0.3438, 0.7500).

Its total magnetization is 6.41 μB/f.u. The crystal system is hexagonal. The theoretical density comes out at 8.5 g/cm3. Its formation energy is -257 meV/atom.

=====

6.
## LaNdYCu (PBE)

Data for crystalline LaNdYCu at its relaxed geometry.

The space group is P4mm (No. 99) and the conventional cell measures 3.597, 3.597 and 8.904 Å, with angles of 90.00, 90.00 and 90.00 degrees. The inequivalent atoms are La at (0.000, 0.000, 0.000), Nd at (0.500, 0.500, 0.689), Y at (0.500, 0.500, 0.307) and Cu at (0.000, 0.000, 0.485).

Its total magnetization is 0.00 μB/f.u. The crystal system is tetragonal. The theoretical density comes out at 6.3 g/cm3. Its formation energy is -72 meV/atom.